Record 1
# Hg2OsRh | Alexandria | PBE-GGA | relaxed
data_Hg2OsRh
_chemical_formula_sum 'Hg4 Os2 Rh2'
_cell_length_a 4.2138
_cell_length_b 4.2138
_cell_length_c 7.8814
_cell_angle_alpha 90.00
_cell_angle_beta 90.00
_cell_angle_gamma 90.00
_symmetry_space_group_name_H-M 'I 4/m m m'
_symmetry_Int_Tables_number 139
_symmetry_space_group_name_Hall '-I 4 2'
loop_
_atom_site_label
_atom_site_type_symbol
_atom_site_fract_x
_atom_site_fract_y
_atom_site_fract_z
Hg1 Hg 0.0000 0.5000 0.2500
Os1 Os 0.0000 0.0000 0.0000
Rh1 Rh 0.0000 0.0000 0.5000
# Distance to the lowest polymorph of the same formula ... 0.4425 eV per atom
# Calculated volume ... 17.49 Å³/atom
# DFT total energy ... -4.016 eV per atom

Record 2
# LuMnCu2 | Alexandria | PBE-GGA | relaxed
data_LuMnCu2
_chemical_formula_sum 'Lu3 Mn3 Cu6'
_cell_length_a 4.2824
_cell_length_b 4.2824
_cell_length_c 12.8382
_cell_angle_alpha 90.00
_cell_angle_beta 90.00
_cell_angle_gamma 120.00
_symmetry_space_group_name_H-M 'R -3 m'
_symmetry_Int_Tables_number 166
_symmetry_space_group_name_Hall '-R 3 2"'
loop_
_atom_site_label
_atom_site_type_symbol
_atom_site_fract_x
_atom_site_fract_y
_atom_site_fract_z
Lu1 Lu 0.0000 0.0000 0.0000
Mn1 Mn 0.0000 0.0000 0.5000
Cu1 Cu 0.0000 0.0000 0.2126
# Distance to the lowest polymorph of the same formula ... 0.0000 eV per atom
# Calculated volume ... 16.99 Å³/atom
# DFT total energy ... -5.528 eV per atom

Record 3
# UAlGa2Ni4 | Alexandria | PBE-GGA | relaxed
data_UAlGa2Ni4
_chemical_formula_sum 'U3 Al3 Ga6 Ni12'
_cell_length_a 4.0658
_cell_length_b 4.0658
_cell_length_c 23.8604
_cell_angle_alpha 90.00
_cell_angle_beta 90.00
_cell_angle_gamma 120.00
_symmetry_space_group_name_H-M 'R -3 m'
_symmetry_Int_Tables_number 166
_symmetry_space_group_name_Hall '-R 3 2"'
loop_
_atom_site_label
_atom_site_type_symbol
_atom_site_fract_x
_atom_site_fract_y
_atom_site_fract_z
U1 U 0.0000 0.0000 0.0000
Al1 Al 0.0000 0.0000 0.5000
Ga1 Ga 0.0000 0.0000 0.2413
Ni1 Ni 0.0000 0.0000 0.1315
Ni2 Ni 0.0000 0.0000 0.3975
# Calculated volume ... 14.23 Å³/atom
# DFT total energy ... -5.880 eV per atom

no.,energy of formation (eV/f.u.)
1,3.1
2,-0.2
3,-2.8